1.
First-principles (PBE-GGA) data for ZrCr3 after structural relaxation, as listed in Alexandria.

CIF file:
```
data_ZrCr3
_chemical_formula_sum 'Zr4 Cr12'
_cell_length_a 5.8785
_cell_length_b 5.8785
_cell_length_c 7.9451
_cell_angle_alpha 90.00
_cell_angle_beta 90.00
_cell_angle_gamma 120.00
_symmetry_space_group_name_H-M 'P 1'
_symmetry_Int_Tables_number 1
_symmetry_space_group_name_Hall 'P 1'
loop_
_atom_site_label
_atom_site_type_symbol
_atom_site_fract_x
_atom_site_fract_y
_atom_site_fract_z
_atom_site_occupancy
Cr1 Cr 0.0000 0.5000 0.0000 1
Cr2 Cr 0.0000 0.5000 0.5000 1
Cr3 Cr 0.1991 0.3981 0.7500 1
Cr4 Cr 0.1991 0.8009 0.7500 1
Cr5 Cr 0.3981 0.1991 0.2500 1
Cr6 Cr 0.5000 0.0000 0.0000 1
Cr7 Cr 0.5000 0.0000 0.5000 1
Cr8 Cr 0.5000 0.5000 0.0000 1
Cr9 Cr 0.5000 0.5000 0.5000 1
Cr10 Cr 0.6019 0.8009 0.7500 1
Cr11 Cr 0.8009 0.1991 0.2500 1
Cr12 Cr 0.8009 0.6019 0.2500 1
Zr1 Zr 0.0000 0.0000 0.0000 1
Zr2 Zr 0.0000 0.0000 0.5000 1
Zr3 Zr 0.3333 0.6667 0.2500 1
Zr4 Zr 0.6667 0.3333 0.7500 1
```

## Properties
Calculated volume   14.86 Å³/atom

=====

2.
First-principles (PBE-GGA) data for Zr4Cr after structural relaxation, as listed in Alexandria.

CIF file:
```
data_Zr4Cr
_chemical_formula_sum 'Zr4 Cr1'
_cell_length_a 5.3410
_cell_length_b 5.3410
_cell_length_c 5.3410
_cell_angle_alpha 109.47
_cell_angle_beta 109.47
_cell_angle_gamma 109.47
_symmetry_space_group_name_H-M 'P 1'
_symmetry_Int_Tables_number 1
_symmetry_space_group_name_Hall 'P 1'
loop_
_atom_site_label
_atom_site_type_symbol
_atom_site_fract_x
_atom_site_fract_y
_atom_site_fract_z
_atom_site_occupancy
Zr1 Zr 0.5000 0.0000 0.0000 1
Zr2 Zr 0.5000 0.5000 0.5000 1
Zr3 Zr 0.0000 0.5000 0.0000 1
Zr4 Zr 0.0000 0.0000 0.5000 1
Cr1 Cr 0.0000 0.0000 0.0000 1
```

## Properties
Calculated volume   23.46 Å³/atom
ΔE to the lowest computed polymorph   299 kJ/mol of formula units

=====

3.
First-principles (PBE-GGA) data for Zr2Cr after structural relaxation, as listed in Alexandria.

CIF file:
```
data_Zr2Cr
_chemical_formula_sum 'Zr4 Cr2'
_cell_length_a 7.9085
_cell_length_b 7.9085
_cell_length_c 5.0711
_cell_angle_alpha 90.00
_cell_angle_beta 90.00
_cell_angle_gamma 157.39
_symmetry_space_group_name_H-M 'P 1'
_symmetry_Int_Tables_number 1
_symmetry_space_group_name_Hall 'P 1'
loop_
_atom_site_label
_atom_site_type_symbol
_atom_site_fract_x
_atom_site_fract_y
_atom_site_fract_z
_atom_site_occupancy
Zr1 Zr 0.8654 0.1346 0.2500 1
Zr2 Zr 0.5547 0.4453 0.2500 1
Zr3 Zr 0.4453 0.5547 0.7500 1
Zr4 Zr 0.1346 0.8654 0.7500 1
Cr1 Cr 0.2105 0.7895 0.2500 1
Cr2 Cr 0.7895 0.2105 0.7500 1
```

## Properties
Calculated volume   20.32 Å³/atom

=====

The records above yield ΔH_f (0 K) values of 465 711 353 meV/atom, respectively.